Below is crystalline Ba2OsPt at its relaxed geometry, with properties calculated at the PBE-GGA level.

Output
The energy of formation from the pure elements is 0.66 eV per atom. The crystal system is cubic. The calculation puts the offset from the most stable computed form at 678 meV/atom. The final energy is -18.48 eV per formula unit.

Unit cell a=7.462 b=7.462 c=7.462 alpha=90.00 beta=90.00 gamma=90.00
Space group F-43m (No. 216)
Asymmetric unit:
Ba 0.000 0.000 0.000 (multiplicity 4)
Ba 0.250 0.250 0.250 (multiplicity 4)
Os 0.000 0.000 0.500 (multiplicity 4)
Pt 0.250 0.250 0.750 (multiplicity 4)